(1)
La2PrSc | PBE-GGA | relaxed

Results
* energy relative to the lowest polymorph listed for this composition: 30.7 meV per atom
* total DFT energy (no corrections): -5.174 eV per atom
* spin magnetization: 0.000 μB per atom
* formation energy: 67 meV/atom

Cell lengths 3.6213, 3.6213, 35.1963 Å; angles 90.00, 90.00, 120.00 degrees
Space group R3m (No. 160, hexagonal axes)
Symmetry-distinct sites (fractional):
La1 0.0000 0.0000 0.0000 (multiplicity 3)
La2 0.0000 0.0000 0.1766 (multiplicity 3)
Pr1 0.0000 0.0000 0.4199 (multiplicity 3)
Sc1 0.0000 0.0000 0.5887 (multiplicity 3)

(2)
Pr2SbPb | PBE-GGA | relaxed

Results
* energy relative to the lowest polymorph listed for this composition: 0.0 meV per atom
* formation energy without anion corrections: -0.887 eV/atom
* total DFT energy (no corrections): -5.234 eV per atom
* spin magnetization: 0.000 μB per atom

Cell lengths 4.6606, 25.0519, 4.5444 Å; angles 90.00, 90.00, 90.00 degrees
Space group Cmcm (No. 63)
Symmetry-distinct sites (fractional):
Pr1 0.0000 0.0638 0.2500 (multiplicity 4)
Pr2 0.0000 0.3140 0.2500 (multiplicity 4)
Sb1 0.0000 0.1879 0.2500 (multiplicity 4)
Pb1 0.0000 0.4529 0.2500 (multiplicity 4)

(3)
MgTlPdRh | PBE-GGA | relaxed

Results
* total DFT energy (no corrections): -4.467 eV per atom
* spin magnetization: 0.000 μB per atom
* formation energy: -340 meV/atom

Cell lengths 6.4945, 6.4945, 6.4945 Å; angles 90.00, 90.00, 90.00 degrees
Space group F-43m (No. 216)
Symmetry-distinct sites (fractional):
Mg1 0.0000 0.0000 0.0000 (multiplicity 4)
Tl1 0.0000 0.0000 0.5000 (multiplicity 4)
Pd1 0.2500 0.2500 0.2500 (multiplicity 4)
Rh1 0.2500 0.2500 0.7500 (multiplicity 4)

(4)
Tm6Te2C | PBE-GGA | relaxed

Results
* formation energy without anion corrections: -0.622 eV/atom
* total DFT energy (no corrections): -5.326 eV per atom
* spin magnetization: 0.000 μB per atom

Cell lengths 6.3699, 7.3900, 11.3493 Å; angles 90.00, 120.90, 90.00 degrees
Space group P2_1/c (No. 14)
Symmetry-distinct sites (fractional):
Tm1 0.1207 0.0186 0.2440 (multiplicity 4)
Tm2 0.1814 0.7028 0.0407 (multiplicity 4)
Tm3 0.3613 0.1744 0.0340 (multiplicity 4)
Te1 0.3364 0.1114 0.7525 (multiplicity 4)
C1 0.0000 0.0000 0.0000 (multiplicity 2)

(5)
Tb3Sm4Al | PBE-GGA | relaxed

Results
* total DFT energy (no corrections): -4.449 eV per atom
* spin magnetization: 0.000 μB per atom
* formation energy: 115 meV/atom

Cell lengths 27.6396, 3.4613, 5.4737 Å; angles 90.00, 101.30, 90.00 degrees
Space group C2/m (No. 12)
Symmetry-distinct sites (fractional):
Tb1 0.0000 0.0000 0.0000 (multiplicity 2)
Tb2 0.1577 0.0000 0.1592 (multiplicity 4)
Sm1 0.0932 0.0000 0.5954 (multiplicity 4)
Sm2 0.2148 0.5000 0.7156 (multiplicity 4)
Al1 0.0000 0.5000 0.5000 (multiplicity 2)

(6)
La2HgGeIr | PBE-GGA | relaxed

Results
* energy relative to the lowest polymorph listed for this composition: 128.4 meV per atom
* total DFT energy (no corrections): -5.239 eV per atom
* spin magnetization: 0.000 μB per atom
* formation energy: -512 meV/atom

Cell lengths 5.6466, 5.6466, 4.7095 Å; angles 90.00, 90.00, 90.00 degrees
Space group P4/mmm (No. 123)
Symmetry-distinct sites (fractional):
La1 0.0000 0.5000 0.0000 (multiplicity 2)
Hg1 0.0000 0.0000 0.5000 (multiplicity 1)
Ge1 0.5000 0.5000 0.5000 (multiplicity 1)
Ir1 0.5000 0.5000 0.0000 (multiplicity 1)

(7)
CsInCu2F8 | PBE-GGA | relaxed

Results
* formation energy without anion corrections: -1.970 eV/atom
* total DFT energy (no corrections): -4.199 eV per atom
* spin magnetization: 0.167 μB per atom

Cell lengths 5.6289, 5.6289, 23.3644 Å; angles 90.00, 90.00, 120.00 degrees
Space group R-3 (No. 148, hexagonal axes)
Symmetry-distinct sites (fractional):
Cs1 0.0000 0.0000 0.0000 (multiplicity 3)
In1 0.0000 0.0000 0.5000 (multiplicity 3)
Cu1 0.0000 0.0000 0.2357 (multiplicity 6)
F1 0.0000 0.0000 0.3133 (multiplicity 6)
F2 0.0018 0.3120 0.4497 (multiplicity 18)

(8)
Ac3DyOs2N6 | PBE-GGA | relaxed

Results
* formation energy without anion corrections: -0.656 eV/atom
* total DFT energy (no corrections): -8.101 eV per atom
* spin magnetization: 0.000 μB per atom

Cell lengths 6.0698, 6.0698, 6.8237 Å; angles 90.00, 90.00, 120.00 degrees
Space group P-3m1 (No. 164)
Symmetry-distinct sites (fractional):
Ac1 0.0000 0.0000 0.0000 (multiplicity 1)
Ac2 0.3333 0.6667 0.6885 (multiplicity 2)
Dy1 0.0000 0.0000 0.5000 (multiplicity 1)
Os1 0.3333 0.6667 0.1844 (multiplicity 2)
N1 0.1711 0.3422 0.2895 (multiplicity 6)